Entry 1:
# PBE Li3TlP, optimized geometry
# * offset from the most stable computed form: 4.54 eV/f.u.
# * crystal system: cubic
data_Li3TlP
_cell_length_a 4.916
_cell_length_b 4.916
_cell_length_c 4.916
_cell_angle_alpha 90.00
_cell_angle_beta 90.00
_cell_angle_gamma 90.00
_space_group_name_H-M_alt 'P m -3 m'
_space_group_IT_number 221
_space_group_name_Hall '-P 4 2 3'
loop_
_atom_site_label
_atom_site_type_symbol
_atom_site_fract_x
_atom_site_fract_y
_atom_site_fract_z
_atom_site_occupancy
Li1 Li 0.000 0.000 0.500 1
Tl1 Tl 0.000 0.000 0.000 1
P1 P 0.500 0.500 0.500 1

=====

Entry 2:
# PBE LiTlP2, optimized geometry
# * offset from the most stable computed form: 0.12 eV/f.u.
# * crystal system: orthorhombic
data_LiTlP2
_cell_length_a 3.282
_cell_length_b 4.216
_cell_length_c 13.006
_cell_angle_alpha 90.00
_cell_angle_beta 90.00
_cell_angle_gamma 90.00
_space_group_name_H-M_alt 'I m m 2'
_space_group_IT_number 44
loop_
_space_group_symop_operation_xyz
'x,y,z'
'-x,-y,z'
'-x,y,z'
'x,-y,z'
'x+1/2,y+1/2,z+1/2'
'-x+1/2,-y+1/2,z+1/2'
'-x+1/2,y+1/2,z+1/2'
'x+1/2,-y+1/2,z+1/2'
loop_
_atom_site_label
_atom_site_type_symbol
_atom_site_fract_x
_atom_site_fract_y
_atom_site_fract_z
_atom_site_occupancy
Li1 Li 0.000 0.000 0.000 1
Tl1 Tl 0.000 0.500 0.234 1
P1 P 0.000 0.000 0.503 1
P2 P 0.000 0.500 0.886 1

=====

Entry 3:
# PBE LiTlP2, optimized geometry
# * offset from the most stable computed form: 2.31 eV/f.u.
# * crystal system: tetragonal
data_LiTlP2
_cell_length_a 6.247
_cell_length_b 6.247
_cell_length_c 9.947
_cell_angle_alpha 90.00
_cell_angle_beta 90.00
_cell_angle_gamma 90.00
_space_group_name_H-M_alt 'I -4 2 d'
_space_group_IT_number 122
_space_group_name_Hall 'I -4 2bw'
loop_
_atom_site_label
_atom_site_type_symbol
_atom_site_fract_x
_atom_site_fract_y
_atom_site_fract_z
_atom_site_occupancy
Li1 Li 0.000 0.000 0.000 1
Tl1 Tl 0.000 0.000 0.500 1
P1 P 0.232 0.250 0.125 1

=====

Entry 4:
# PBE LiTlP2, optimized geometry
# * offset from the most stable computed form: 1.55 eV/f.u.
# * crystal system: monoclinic
data_LiTlP2
_cell_length_a 5.291
_cell_length_b 7.513
_cell_length_c 3.797
_cell_angle_alpha 90.00
_cell_angle_beta 91.32
_cell_angle_gamma 90.00
_space_group_name_H-M_alt 'C 1 2/m 1'
_space_group_IT_number 12
loop_
_space_group_symop_operation_xyz
'x,y,z'
'-x,-y,-z'
'-x,y,-z'
'x,-y,z'
'x+1/2,y+1/2,z'
'-x+1/2,-y+1/2,-z'
'-x+1/2,y+1/2,-z'
'x+1/2,-y+1/2,z'
loop_
_atom_site_label
_atom_site_type_symbol
_atom_site_fract_x
_atom_site_fract_y
_atom_site_fract_z
_atom_site_occupancy
Li1 Li 0.000 0.000 0.000 1
Tl1 Tl 0.000 0.500 0.000 1
P1 P 0.250 0.250 0.500 1

=====

Entry 5:
# PBE LiTl2P, optimized geometry
# * offset from the most stable computed form: 0.00 eV/f.u.
# * crystal system: monoclinic
data_LiTl2P
_cell_length_a 7.364
_cell_length_b 4.239
_cell_length_c 7.010
_cell_angle_alpha 90.00
_cell_angle_beta 110.37
_cell_angle_gamma 90.00
_space_group_name_H-M_alt 'C 1 m 1'
_space_group_IT_number 8
loop_
_space_group_symop_operation_xyz
'x,y,z'
'x,-y,z'
'x+1/2,y+1/2,z'
'x+1/2,-y+1/2,z'
loop_
_atom_site_label
_atom_site_type_symbol
_atom_site_fract_x
_atom_site_fract_y
_atom_site_fract_z
_atom_site_occupancy
Li1 Li 0.000 0.000 0.000 1
Tl1 Tl 0.070 0.500 0.709 1
Tl2 Tl 0.263 0.500 0.288 1
P1 P 0.334 0.000 0.002 1

=====

Entry 6:
# PBE Li3TlP, optimized geometry
# * offset from the most stable computed form: 0.00 eV/f.u.
# * crystal system: monoclinic
data_Li3TlP
_cell_length_a 6.223
_cell_length_b 4.127
_cell_length_c 7.239
_cell_angle_alpha 90.00
_cell_angle_beta 108.26
_cell_angle_gamma 90.00
_space_group_name_H-M_alt 'P 1 21/m 1'
_space_group_IT_number 11
loop_
_space_group_symop_operation_xyz
'x,y,z'
'-x,-y,-z'
'-x,y+1/2,-z'
'x,-y+1/2,z'
loop_
_atom_site_label
_atom_site_type_symbol
_atom_site_fract_x
_atom_site_fract_y
_atom_site_fract_z
_atom_site_occupancy
Li1 Li 0.072 0.250 0.135 1
Li2 Li 0.135 0.750 0.557 1
Li3 Li 0.397 0.750 0.917 1
Tl1 Tl 0.433 0.750 0.321 1
P1 P 0.165 0.250 0.795 1